Crystalline LaLuMgTi at its relaxed geometry, computed with GGA-PBE.

Calculated values
- symmetry = No. 216
- DOS at the Fermi energy (states/eV/cell) = 5.49
- total energy (Ha/atom) = -0.1685

a = 5.3055 Å, b = 5.3055 Å, c = 5.3055 Å
α = 60.00°, β = 60.00°, γ = 60.00°
Sites, in units of the cell vectors:
La  0.0000  0.0000  0.0000
Lu  0.5000  0.5000  0.5000
Mg  0.2500  0.2500  0.2500
Ti  0.7500  0.7500  0.7500